1.
This record from the Alexandria database describes CaAc2ZnO5 after structural relaxation. The functional is GGA-PBE.

The total energy comes out at -6.67 eV per atom. The value obtained for the uncorrected formation energy is -2.63 eV per atom.

The space group is I4/mcm (No. 140) and the conventional cell measures 7.095, 7.095 and 11.434 Å, with angles of 90.00, 90.00 and 90.00 degrees. The asymmetric unit holds Ca at (0.000, 0.000, 0.250), Ac at (0.172, 0.328, 0.000), Zn at (0.000, 0.500, 0.250), O at (0.000, 0.000, 0.000) and O at (0.150, 0.350, 0.361).

***

2.
This record from the Alexandria database describes LiSbMo2 after structural relaxation. The functional is GGA-PBE.

The total energy comes out at -6.71 eV per atom. The value obtained for the uncorrected formation energy is 0.22 eV per atom.

The space group is I4/mmm (No. 139) and the conventional cell measures 3.846, 3.846 and 8.856 Å, with angles of 90.00, 90.00 and 90.00 degrees. The asymmetric unit holds Li at (0.000, 0.000, 0.000), Sb at (0.000, 0.000, 0.500) and Mo at (0.000, 0.500, 0.250).